Record 1
A plane-wave DFT calculation with PBE was carried out for a relaxed structure of PmThIrRu.

Values from the calculation:
**Density**: 12553 kg/m³
**Formation energy from the elements**: -0.491 eV per atom
**Crystal system**: cubic
**Symmetry**: F-43m (216)

Unit cell a=5.0053 b=5.0053 c=5.0053 alpha=60.00 beta=60.00 gamma=60.00
Atoms (fractional coordinates):
Ru1 0.2500 0.2500 0.2500
Pm1 0.0000 0.0000 0.0000
Th1 0.5000 0.5000 0.5000
Ir1 0.7500 0.7500 0.7500



Record 2
A plane-wave DFT calculation with PBE was carried out for a relaxed structure of TmCuNi3.

Values from the calculation:
**Density**: 8425 kg/m³
**Formation energy from the elements**: 0.105 eV per atom
**Crystal system**: orthorhombic
**Symmetry**: Cmcm (63)

Unit cell a=4.4096 b=8.4122 c=8.4122 alpha=148.93 beta=90.00 gamma=90.00
Each line ends with the local moment (μB).
Atoms (fractional coordinates):
Ni1 0.2500 0.5278 0.9890  0.20
Tm1 0.2500 0.4137 0.5863  -0.02
Ni2 0.2500 0.0110 0.4722  0.20
Ni3 0.0000 0.0000 0.0000  0.01
Tm2 0.7500 0.5863 0.4137  -0.02
Cu1 0.2500 0.1354 0.8646  0.00
Cu2 0.7500 0.8646 0.1354  0.00
Ni4 0.7500 0.4722 0.0110  0.20
Ni5 0.5000 0.0000 0.0000  0.01
Ni6 0.7500 0.9890 0.5278  0.20



Record 3
A plane-wave DFT calculation with PBE was carried out for a relaxed structure of TaCdTe2N.

Values from the calculation:
**Density**: 7805 kg/m³
**Crystal system**: tetragonal
**Symmetry**: P4/mmm (123)

Unit cell a=5.5325 b=5.5325 c=3.9105 alpha=90.00 beta=90.00 gamma=90.00
Atoms (fractional coordinates):
Te1 0.0000 0.5000 0.0000
N1 0.0000 0.0000 0.5000
Te2 0.5000 0.0000 0.0000
Cd1 0.0000 0.0000 0.0000
Ta1 0.5000 0.5000 0.5000



Record 4
A plane-wave DFT calculation with PBE was carried out for a relaxed structure of Ta2CuPd6.

Values from the calculation:
**Density**: 12355 kg/m³
**Formation energy from the elements**: -0.195 eV per atom
**Crystal system**: orthorhombic
**Symmetry**: Cmmm (65)

Unit cell a=2.8015 b=7.4603 c=8.2793 alpha=116.78 beta=109.74 gamma=90.00
Atoms (fractional coordinates):
Ta1 0.8620 0.6806 0.3611
Pd1 0.5000 0.6820 0.0000
Pd2 0.6793 0.0209 0.6798
Pd3 0.3207 0.9791 0.3202
Pd4 0.5000 0.3180 0.0000
Pd5 0.6793 0.6589 0.6798
Pd6 0.3207 0.3411 0.3202
Ta2 0.1380 0.3194 0.6389
Cu1 0.0000 0.0000 0.0000



| no. | size of the total moment (Bohr magnetons per cell) | uncorrected energy (eV per cell) |
| --- | --- | --- |
| 1 | 0.0 | -32.272 |
| 2 | 0.8 | -50.772 |
| 3 | 0.0 | -19.424 |
| 4 | 0.0 | -60.717 |